# Li2MgPtO4, relaxed, DFT PBE-GGA
# Raw formation energy = -1652 meV/atom
# Total magnetization = 0.000 μB/atom
data_Li2MgPtO4
_space_group_name_H-M_alt 'P 1 2/m 1'
_space_group_IT_number 10
_cell_length_a 5.159
_cell_length_b 3.076
_cell_length_c 5.179
_cell_angle_alpha 90.00
_cell_angle_beta 108.36
_cell_angle_gamma 90.00
loop_
_space_group_symop_operation_xyz
'x,y,z'
'-x,-y,-z'
'-x,y,-z'
'x,-y,z'
loop_
_atom_site_label
_atom_site_type_symbol
_atom_site_fract_x
_atom_site_fract_y
_atom_site_fract_z
_atom_site_occupancy
Li1 Li 0.000 0.000 0.000 1
Li2 Li 0.000 0.500 0.500 1
Mg1 Mg 0.500 0.000 0.500 1
Pt1 Pt 0.500 0.500 0.000 1
O1 O 0.265 0.500 0.260 1
O2 O 0.274 0.000 0.773 1